No. 1
The following is a PBE-GGA calculation of a relaxed Mg2FeSi crystal, from Alexandria.

a b c (Å): 5.2511 5.2511 4.5061
angles (deg): 64.65 64.65 35.08
Last column: magnetic moment on the atom in μB.
Positions (direct):
Fe 0.2191 0.2191 0.2810  1.63
Mg 0.9791 0.9791 0.0209  -0.01
Mg 0.7650 0.7650 0.7351  -0.02
Si 0.5368 0.5368 0.4630  -0.01

total moment = 1.46 μB/f.u.
energy relative to the elements, uncorrected = 0.03 eV/atom

No. 2
The following is a PBE-GGA calculation of a relaxed MgFeSi2 crystal, from Alexandria.

a b c (Å): 4.7682 4.7682 4.7682
angles (deg): 134.02 134.02 67.05
Last column: magnetic moment on the atom in μB.
Positions (direct):
Fe 0.5000 0.5000 0.0000  1.86
Mg 0.7500 0.2500 0.5000  -0.01
Si 0.0000 0.0000 0.0000  0.02
Si 0.2500 0.7500 0.5000  0.00

total moment = 1.86 μB/f.u.
energy relative to the elements, uncorrected = 0.13 eV/atom

No. 3
The following is a PBE-GGA calculation of a relaxed MgFeSi2 crystal, from Alexandria.

a b c (Å): 4.4712 4.4712 8.0610
angles (deg): 73.90 73.90 90.00
Positions (direct):
Mg 0.5000 0.5000 0.0000
Mg 0.2500 0.7500 0.5000
Si 0.7733 0.1250 0.2500
Si 0.9767 0.6250 0.2500
Si 0.3750 0.2267 0.7500
Si 0.8750 0.0233 0.7500
Fe 0.0000 0.0000 0.0000
Fe 0.7500 0.2500 0.5000

total moment = 0.00 μB/f.u.
energy relative to the elements, uncorrected = 0.23 eV/atom

No. 4
The following is a PBE-GGA calculation of a relaxed MgFe3Si crystal, from Alexandria.

a b c (Å): 4.3853 4.3853 4.3853
angles (deg): 90.00 90.00 90.00
Last column: magnetic moment on the atom in μB.
Positions (direct):
Mg 0.0000 0.0000 0.0000  -0.07
Si 0.5000 0.5000 0.5000  -0.01
Fe 0.0000 0.5000 0.0000  2.75
Fe 0.0000 0.0000 0.5000  2.90
Fe 0.5000 0.0000 0.0000  2.34

total moment = 7.79 μB/f.u.
energy relative to the elements, uncorrected = 1.58 eV/atom
ΔE to the lowest computed polymorph = 1132 meV/atom

no.,volume (Å³/atom)
1,15.95
2,13.78
3,18.53
4,16.87